! Te2Ir2IBr, relaxed, DFT GGA-PBE; values from VASP
! crystal system	monoclinic
! density	7148	kg/m3
! final energy	-27.166	eV for the cell shown
&SYSTEM
  ibrav = 0, nat = 6, ntyp = 4
/
ATOMIC_SPECIES
Te 127.60 Te.upf
Ir 192.22 Ir.upf
I 126.90 I.upf
Br 79.90 Br.upf
CELL_PARAMETERS angstrom
7.6219 -2.0535 0.0000
7.6219 2.0535 0.0000
-0.8618 0.0000 6.2817
ATOMIC_POSITIONS crystal
Te 0.0000 0.0000 0.0000
Te 0.7170 0.7170 0.3457
Ir 0.1688 0.1688 0.1191
Ir 0.5492 0.5492 0.2254
I 0.4373 0.4373 0.4980
Br 0.2773 0.2773 0.8690